Crystalline TlCo2S2 at its relaxed geometry. Source: Alexandria, functional PBE.

Results
The theoretical density comes out at 6.927 g/cm³. The crystal system is tetragonal. For the formation energy without anion corrections, the calculation gives 0.047 eV per atom. The density of states at the Fermi level comes out at 4.73 states/eV/f.u.

abc: 4.171 4.171 10.647
angles: 90.00 90.00 90.00
Space group I4/mmm (No. 139)
Symmetry-distinct sites (fractional):
Tl 0.000 0.000 0.000 x2
Co 0.000 0.000 0.322 x4
S 0.000 0.500 0.250 x4

***

Crystalline CaLa2Ga4Pd3 at its relaxed geometry. Source: Alexandria, functional PBE.

Results
The theoretical density comes out at 6.937 g/cm³. The crystal system is tetragonal. The density of states at the Fermi level comes out at 8.54 states/eV/f.u.

abc: 4.336 4.336 11.663
angles: 90.00 90.00 90.00
Space group P-4m2 (No. 115)
Symmetry-distinct sites (fractional):
Ca 0.000 0.000 0.000 x1
La 0.000 0.500 0.721 x2
Ga 0.000 0.000 0.500 x1
Ga 0.000 0.500 0.167 x2
Ga 0.500 0.500 0.500 x1
Pd 0.000 0.500 0.381 x2
Pd 0.500 0.500 0.000 x1

***

Calculated DFT total energy, -4.92 -4.65 eV/atom (same order as the records).